1.
VASP calculation (PBE) on a relaxed structure of Ca3TbHf2P6.

Output
- VASP energy (eV per atom) = -6.495

a = 6.7710 Å, b = 6.7710 Å, c = 7.0224 Å
α = 99.30°, β = 99.30°, γ = 120.06°
Fractional coordinates of all 12 atoms:
Ca 0.5000 0.5000 0.5000
Ca 0.1629 0.8371 0.5000
P 0.7264 0.7264 0.2249
P 0.0758 0.4243 0.2262
P 0.9242 0.5757 0.7738
Hf 0.6674 0.3326 0.0000
Tb 0.0000 0.0000 0.0000
P 0.2736 0.2736 0.7751
Ca 0.8371 0.1629 0.5000
P 0.5757 0.9242 0.7738
Hf 0.3326 0.6674 0.0000
P 0.4243 0.0758 0.2262

---

2.
VASP calculation (PBE) on a relaxed structure of LiLaFe2.

Output
- relative energy among the computed polymorphs (meV/atom) = 161

a = 4.0853 Å, b = 3.1249 Å, c = 5.9590 Å
α = 72.65°, β = 90.00°, γ = 90.00°
Each line ends with the local moment (μB).
Fractional coordinates of all 4 atoms:
Fe 0.5000 0.1671 0.1972  2.33
Li 0.5000 0.7707 0.8272  -0.05
La 0.0000 0.4943 0.4682  -0.28
Fe 0.0000 0.0679 0.0074  2.36

---

3.
VASP calculation (PBE) on a relaxed structure of NdTh2Pt3.

Output
- VASP energy (eV per atom) = -7.466

a = 7.2524 Å, b = 7.2524 Å, c = 13.3606 Å
α = 100.35°, β = 100.35°, γ = 109.75°
Fractional coordinates of all 24 atoms:
Th 0.0000 0.5000 0.0000
Pt 0.0820 0.0888 0.6642
Th 0.5000 0.0000 0.0000
Pt 0.6678 0.1746 0.8358
Pt 0.8254 0.3322 0.1642
Nd 0.0835 0.0835 0.1670
Th 0.8330 0.3330 0.6659
Th 0.7500 0.7500 0.5000
Pt 0.3388 0.8320 0.1642
Pt 0.9112 0.9180 0.3358
Th 0.5830 0.5830 0.1659
Pt 0.2552 0.2552 0.0000
Th 0.2500 0.2500 0.5000
Pt 0.7448 0.7448 0.0000
Nd 0.9165 0.9165 0.8330
Pt 0.4246 0.4178 0.3358
Nd 0.1665 0.6665 0.3330
Pt 0.5052 0.0052 0.5000
Pt 0.5822 0.5754 0.6642
Th 0.4170 0.4170 0.8341
Nd 0.3335 0.8335 0.6670
Th 0.6670 0.1670 0.3341
Pt 0.9948 0.4948 0.5000
Pt 0.1680 0.6612 0.8358

---

Number 1: calculated volume 21.97 Å³ per atom, N(E_F) 4.28 states/eV/f.u.. Number 2: calculated volume 18.15 Å³ per atom, N(E_F) 3.64 states/eV/f.u.. Number 3: calculated volume 26.18 Å³ per atom, N(E_F) 2.94 states/eV/f.u..